# Sm4CuBi | Alexandria | PBE-GGA | relaxed
# - energy of formation from the pure elements (eV per atom) = -0.2139
# - total moment (μB/atom) = 0.00
data_Sm4CuBi
_cell_length_a 5.6082
_cell_length_b 20.2922
_cell_length_c 6.4750
_cell_angle_alpha 90.00
_cell_angle_beta 90.00
_cell_angle_gamma 90.00
_symmetry_space_group_name_H-M 'C m c 21'
_symmetry_Int_Tables_number 36
loop_
_symmetry_equiv_pos_as_xyz
'x,y,z'
'-x,-y,z+1/2'
'-x,y,z'
'x,-y,z+1/2'
'x+1/2,y+1/2,z'
'-x+1/2,-y+1/2,z+1/2'
'-x+1/2,y+1/2,z'
'x+1/2,-y+1/2,z+1/2'
loop_
_atom_site_label
_atom_site_type_symbol
_atom_site_fract_x
_atom_site_fract_y
_atom_site_fract_z
_atom_site_occupancy
Sm1 Sm 0.0000 0.0494 0.0002 1
Sm2 Sm 0.0000 0.2033 0.2479 1
Sm3 Sm 0.0000 0.2031 0.7517 1
Sm4 Sm 0.0000 0.3948 0.0000 1
Cu1 Cu 0.0000 0.0850 0.4990 1
Bi1 Bi 0.0000 0.3548 0.5000 1


# SmCuBi2 | Alexandria | PBE-GGA | relaxed
# - energy of formation from the pure elements (eV per atom) = 0.0171
# - total moment (μB/atom) = 0.00
data_SmCuBi2
_cell_length_a 3.5612
_cell_length_b 3.5612
_cell_length_c 31.4832
_cell_angle_alpha 90.00
_cell_angle_beta 90.00
_cell_angle_gamma 120.00
_symmetry_space_group_name_H-M 'R -3 m'
_symmetry_Int_Tables_number 166
_symmetry_space_group_name_Hall '-R 3 2"'
loop_
_atom_site_label
_atom_site_type_symbol
_atom_site_fract_x
_atom_site_fract_y
_atom_site_fract_z
_atom_site_occupancy
Sm1 Sm 0.0000 0.0000 0.0000 1
Cu1 Cu 0.0000 0.0000 0.5000 1
Bi1 Bi 0.0000 0.0000 0.4181 1


> Look up the energy of formation from the pure elements of the first one.

-0.2139 eV per atom


> Among the records above, which one has the highest energy of formation from the pure elements?

SmCuBi2